[1]
{
  "formula": "CeZn4Ir",
  "functional": "PBE",
  "state": "relaxed",
  "m_tot_mub_per_atom": 0.1719,
  "delta_e_f_ev_per_fu": -1.59,
  "e_above_lowest_polymorph_kj_per_mol_fu": 38.3,
  "lattice": [[0.000, 3.681, 3.681], [3.681, 0.000, 3.681], [3.681, 3.681, 0.000]],
  "species": ["Ce", "Zn", "Zn", "Zn", "Zn", "Ir"],
  "frac_coords": [[0.000, 0.000, 0.000], [0.130, 0.623, 0.623], [0.623, 0.130, 0.623], [0.623, 0.623, 0.130], [0.623, 0.623, 0.623], [0.250, 0.250, 0.250]]
}


[2]
{
  "formula": "SrMgBiH",
  "functional": "PBE",
  "state": "relaxed",
  "total_energy_ev_per_atom": -3.215,
  "m_tot_mub_per_atom": 0.0000,
  "lattice": [[4.584, 0.000, 0.000], [0.000, 4.584, 0.000], [0.000, 0.000, 9.301]],
  "species": ["Sr", "Sr", "Mg", "Mg", "Bi", "Bi", "H", "H"],
  "frac_coords": [[0.250, 0.250, 0.123], [0.750, 0.750, 0.877], [0.250, 0.750, 0.500], [0.750, 0.250, 0.500], [0.250, 0.250, 0.703], [0.750, 0.750, 0.297], [0.250, 0.750, 0.000], [0.750, 0.250, 0.000]]
}


[3]
{
  "formula": "Ca2TlF8",
  "functional": "PBE",
  "state": "relaxed",
  "raw_formation_energy_mev_per_atom": -2718,
  "m_tot_mub_per_atom": 0.1054,
  "lattice": [[6.475, -1.954, 0.000], [6.475, 1.954, 0.000], [-0.802, 0.000, 6.841]],
  "species": ["Ca", "Ca", "Tl", "F", "F", "F", "F", "F", "F", "F", "F"],
  "frac_coords": [[0.249, 0.249, 0.247], [0.751, 0.751, 0.753], [0.000, 0.000, 0.500], [0.069, 0.069, 0.233], [0.192, 0.192, 0.572], [0.303, 0.303, 0.932], [0.431, 0.431, 0.347], [0.569, 0.569, 0.653], [0.697, 0.697, 0.068], [0.808, 0.808, 0.428], [0.931, 0.931, 0.767]]
}


[4]
{
  "formula": "Tc2Ru3",
  "functional": "PBE",
  "state": "relaxed",
  "m_tot_mub_per_atom": 0.0000,
  "delta_e_f_ev_per_fu": 0.31,
  "e_above_lowest_polymorph_kj_per_mol_fu": 0.0,
  "lattice": [[1.358, 0.784, 11.123], [-1.358, 0.784, 11.123], [0.000, -1.568, 11.123]],
  "species": ["Tc", "Tc", "Ru", "Ru", "Ru"],
  "frac_coords": [[0.099, 0.099, 0.099], [0.901, 0.901, 0.901], [0.299, 0.299, 0.299], [0.500, 0.500, 0.500], [0.701, 0.701, 0.701]]
}


[5]
{
  "formula": "WBr",
  "functional": "PBE",
  "state": "relaxed",
  "raw_formation_energy_mev_per_atom": 2341,
  "m_tot_mub_per_atom": 1.3195,
  "e_above_lowest_polymorph_kj_per_mol_fu": 435.9,
  "lattice": [[0.000, 2.735, 2.735], [2.735, 0.000, 2.735], [2.735, 2.735, 0.000]],
  "species": ["W", "Br"],
  "frac_coords": [[0.000, 0.000, 0.000], [0.500, 0.500, 0.500]]
}


[6]
{
  "formula": "Al4PtBr",
  "functional": "PBE",
  "state": "relaxed",
  "raw_formation_energy_mev_per_atom": 231,
  "m_tot_mub_per_atom": 0.0000,
  "lattice": [[0.000, 3.810, 3.810], [3.810, 0.000, 3.810], [3.810, 3.810, 0.000]],
  "species": ["Al", "Al", "Al", "Al", "Pt", "Br"],
  "frac_coords": [[0.377, 0.377, 0.377], [0.377, 0.377, 0.870], [0.377, 0.870, 0.377], [0.870, 0.377, 0.377], [0.750, 0.750, 0.750], [0.000, 0.000, 0.000]]
}


[7]
{
  "formula": "Rb3NdU2Se6",
  "functional": "PBE",
  "state": "relaxed",
  "raw_formation_energy_mev_per_atom": -1376,
  "m_tot_mub_per_atom": 0.5011,
  "lattice": [[3.719, -6.442, 0.000], [3.719, 6.442, 0.000], [-2.480, 0.000, 8.052]],
  "species": ["Rb", "Rb", "Rb", "Nd", "U", "U", "Se", "Se", "Se", "Se", "Se", "Se"],
  "frac_coords": [[0.000, 0.000, 0.000], [0.335, 0.665, 0.000], [0.665, 0.335, 0.000], [0.500, 0.500, 0.500], [0.167, 0.833, 0.500], [0.833, 0.167, 0.500], [0.093, 0.433, 0.300], [0.225, 0.225, 0.699], [0.433, 0.093, 0.300], [0.567, 0.907, 0.700], [0.775, 0.775, 0.301], [0.907, 0.567, 0.700]]
}


[8]
{
  "formula": "Pu4Pt4Pb",
  "functional": "PBE",
  "state": "relaxed",
  "m_tot_mub_per_atom": 2.3215,
  "delta_e_f_ev_per_fu": -4.40,
  "lattice": [[-4.548, 4.548, 2.823], [4.548, -4.548, 2.823], [4.548, 4.548, -2.823]],
  "species": ["Pu", "Pu", "Pu", "Pu", "Pt", "Pt", "Pt", "Pt", "Pb"],
  "frac_coords": [[0.096, 0.297, 0.393], [0.297, 0.904, 0.201], [0.703, 0.096, 0.799], [0.904, 0.703, 0.607], [0.200, 0.602, 0.803], [0.398, 0.200, 0.598], [0.602, 0.800, 0.402], [0.800, 0.398, 0.197], [0.500, 0.500, 0.000]]
}